The following is a PBE-GGA calculation of an optimized crystal structure of NaPmNdMg, from Alexandria via LeMat-Bulk.

Properties
Energy of formation   0.5 eV/f.u.
Electronic total energy   -2.9719 eV per atom

a b c (Å): 5.6087 5.6087 5.6087
angles (deg): 60.00 60.00 60.00
Fractional positions:
1 Na 0.7500 0.7500 0.7500
2 Mg 0.2500 0.2500 0.2500
3 Nd 0.5000 0.5000 0.5000
4 Pm 0.0000 0.0000 0.0000

=====

The following is a PBE-GGA calculation of an optimized crystal structure of MgFe3Mo, from Alexandria via LeMat-Bulk.

Properties
Energy of formation   8.8 eV/f.u.
E above lowest polymorph   2.71 eV/f.u.
Electronic total energy   -5.8052 eV per atom

a b c (Å): 4.3270 4.3270 4.3270
angles (deg): 90.00 90.00 90.00
Fractional positions:
1 Mg 0.0000 0.0000 0.0000
2 Mo 0.5000 0.5000 0.5000
3 Fe 0.0000 0.5000 0.0000
4 Fe 0.0000 0.0000 0.5000
5 Fe 0.5000 0.0000 0.0000

=====

The following is a PBE-GGA calculation of an optimized crystal structure of LaZnGe2Pd5, from Alexandria via LeMat-Bulk.

Properties
Energy of formation   -4.1 eV/f.u.
Electronic total energy   -5.0516 eV per atom

a b c (Å): 4.7249 4.7249 7.5174
angles (deg): 90.00 90.00 90.00
Fractional positions:
1 La 0.0000 0.0000 0.5000
2 Zn 0.0000 0.0000 0.0000
3 Ge 0.5000 0.5000 0.1582
4 Ge 0.5000 0.5000 0.8418
5 Pd 0.0000 0.5000 0.2434
6 Pd 0.5000 0.0000 0.2434
7 Pd 0.0000 0.5000 0.7566
8 Pd 0.5000 0.0000 0.7566
9 Pd 0.5000 0.5000 0.5000

=====

The following is a PBE-GGA calculation of an optimized crystal structure of Hg2SbBrCl, from Alexandria via LeMat-Bulk.

Properties
E_form (uncorrected)   -0.2226 eV per atom
E above lowest polymorph   0.00 eV/f.u.
Electronic total energy   -1.8717 eV per atom

a b c (Å): 5.6873 5.6873 5.1384
angles (deg): 90.00 90.00 90.00
Fractional positions:
1 Sb 0.0000 0.0000 0.0000
2 Hg 0.0000 0.5000 0.0000
3 Hg 0.5000 0.0000 0.0000
4 Br 0.5000 0.5000 0.5000
5 Cl 0.0000 0.0000 0.5000

=====

The following is a PBE-GGA calculation of an optimized crystal structure of Pm2U2Se2S5, from Alexandria via LeMat-Bulk.

Properties
E_form (uncorrected)   -1.4576 eV per atom
Electronic total energy   -6.8834 eV per atom

a b c (Å): 5.2460 5.2460 12.7494
angles (deg): 101.87 101.87 90.00
Fractional positions:
1 Pm 0.3334 0.3334 0.6669
2 Pm 0.6666 0.6666 0.3331
3 U 0.1054 0.1054 0.2109
4 U 0.8946 0.8946 0.7891
5 Se 0.2176 0.2176 0.4352
6 Se 0.7824 0.7824 0.5648
7 S 0.0000 0.0000 0.0000
8 S 0.6148 0.1148 0.2297
9 S 0.8852 0.3852 0.7703
10 S 0.1148 0.6148 0.2297
11 S 0.3852 0.8852 0.7703

=====

The following is a PBE-GGA calculation of an optimized crystal structure of ZrSc2Mo, from Alexandria via LeMat-Bulk.

Properties
Energy of formation   0.6 eV/f.u.
E above lowest polymorph   0.37 eV/f.u.
Electronic total energy   -7.8622 eV per atom

a b c (Å): 5.6421 5.6421 5.6421
angles (deg): 137.04 137.04 62.37
Fractional positions:
1 Mo 0.7500 0.2500 0.5000
2 Sc 0.0000 0.0000 0.0000
3 Sc 0.5000 0.5000 0.0000
4 Zr 0.2500 0.7500 0.5000

=====

The following is a PBE-GGA calculation of an optimized crystal structure of PaRuBrO6, from Alexandria via LeMat-Bulk.

Properties
E_form (uncorrected)   -1.5318 eV per atom
Electronic total energy   -7.1089 eV per atom

a b c (Å): 8.0908 7.6348 7.8380
angles (deg): 119.15 121.07 90.00
Fractional positions:
1 Pa 0.5000 0.0000 0.5000
2 Pa 0.0000 0.0000 0.5000
3 Ru 0.5000 0.5000 0.0000
4 Ru 0.5000 0.0000 0.0000
5 Br 0.7448 0.4948 0.4897
6 Br 0.2552 0.5052 0.5103
7 O 0.4229 0.6729 0.8457
8 O 0.8100 0.0600 0.6200
9 O 0.7764 0.0484 0.2235
10 O 0.4472 0.6751 0.2235
11 O 0.4472 0.0484 0.2235
12 O 0.7764 0.6751 0.2235
13 O 0.5771 0.3271 0.1543
14 O 0.1900 0.9400 0.3800
15 O 0.2236 0.9516 0.7765
16 O 0.5528 0.3249 0.7765
17 O 0.5528 0.9516 0.7765
18 O 0.2236 0.3249 0.7765

=====

The following is a PBE-GGA calculation of an optimized crystal structure of PmBrO2, from Alexandria via LeMat-Bulk.

Properties
E_form (uncorrected)   -2.0619 eV per atom
Electronic total energy   -6.1468 eV per atom

a b c (Å): 3.8064 3.8064 6.5135
angles (deg): 73.01 73.01 60.00
Fractional positions:
1 Pm 0.5000 0.5000 0.5000
2 Br 0.0000 0.0000 0.0000
3 O 0.1142 0.1142 0.6573
4 O 0.8858 0.8858 0.3427

=====

The following is a PBE-GGA calculation of an optimized crystal structure of TaHIrOs2, from Alexandria via LeMat-Bulk.

Properties
E above lowest polymorph   0.00 eV/f.u.
Electronic total energy   -9.5076 eV per atom

a b c (Å): 3.9712 3.9712 3.9664
angles (deg): 90.00 90.00 90.00
Fractional positions:
1 H 0.0000 0.0000 0.0000
2 Ir 0.0000 0.0000 0.5000
3 Os 0.0000 0.5000 0.0000
4 Os 0.5000 0.0000 0.0000
5 Ta 0.5000 0.5000 0.5000

=====

The following is a PBE-GGA calculation of an optimized crystal structure of PuAuO5, from Alexandria via LeMat-Bulk.

Properties
E_form (uncorrected)   -1.3608 eV per atom
Electronic total energy   -7.4180 eV per atom

a b c (Å): 5.4737 5.6249 7.5672
angles (deg): 103.77 92.19 94.28
Fractional positions:
1 Pu 0.9991 0.0012 0.9994
2 Pu 0.9991 0.5013 0.4994
3 Au 0.4991 0.2533 0.7512
4 Au 0.4991 0.7492 0.2475
5 O 0.9986 0.2470 0.2499
6 O 0.9995 0.7555 0.7488
7 O 0.8100 0.7116 0.3800
8 O 0.1887 0.7864 0.1148
9 O 0.3120 0.1768 0.9553
10 O 0.3114 0.6724 0.4516
11 O 0.6862 0.8256 0.0433
12 O 0.6868 0.3301 0.5471
13 O 0.8095 0.2162 0.8840
14 O 0.1881 0.2910 0.6187

=====

The following is a PBE-GGA calculation of an optimized crystal structure of CrPdRh6, from Alexandria via LeMat-Bulk.

Properties
Energy of formation   -0.4 eV/f.u.
Electronic total energy   -7.4120 eV per atom

a b c (Å): 3.8276 3.8276 7.6753
angles (deg): 90.00 90.00 90.00
Fractional positions:
1 Cr 0.0000 0.0000 0.5000
2 Pd 0.0000 0.0000 0.0000
3 Rh 0.5000 0.5000 0.0000
4 Rh 0.5000 0.5000 0.5000
5 Rh 0.5000 0.0000 0.2594
6 Rh 0.5000 0.0000 0.7406
7 Rh 0.0000 0.5000 0.2594
8 Rh 0.0000 0.5000 0.7406

=====

The following is a PBE-GGA calculation of an optimized crystal structure of ReSi2Ru, from Alexandria via LeMat-Bulk.

Properties
E_form (uncorrected)   0.2571 eV per atom
Electronic total energy   -7.8854 eV per atom

a b c (Å): 2.7482 2.7482 8.2777
angles (deg): 90.00 90.00 114.82
Fractional positions:
1 Re 0.0000 0.0000 0.4919
2 Ru 0.5000 0.5000 0.7663
3 Si 0.0000 0.0000 0.9932
4 Si 0.5000 0.5000 0.2487

=====

no.,theoretical density (Mg/m³),density of states at the Fermi level (states/eV/f.u.)
1,4.5,6.2
2,5.9,7.2
3,8.7,4.3
4,6.4,1.4
5,5.4,13.5
6,5.6,4.1
7,4.9,5.1
8,5.5,0.0
9,20.0,2.5
10,7.7,3.3
11,11.5,8.9
12,10.1,3.3